Record 1
Below is crystalline AcSnHgAu at its relaxed geometry, with properties calculated at the PBE-GGA level.

Lattice parameters (Å, degrees): 5.339 5.339 5.339 60.00 60.00 60.00
Atoms (fractional coordinates):
1 Sn 0.000 0.000 0.000
2 Ac 0.500 0.500 0.500
3 Hg 0.250 0.250 0.250
4 Au 0.750 0.750 0.750

Output
SG: F-43m, No. 216
Theoretical density in Mg/m³: 11.5
Formation energy from the elements in eV/atom: -0.56

Record 2
Below is crystalline AcSn2HgAu at its relaxed geometry, with properties calculated at the PBE-GGA level.

Lattice parameters (Å, degrees): 4.922 4.922 6.764 90.00 90.00 90.00
Atoms (fractional coordinates):
1 Ac 0.000 0.000 0.520
2 Hg 0.500 0.500 0.590
3 Sn 0.500 0.000 0.906
4 Au 0.000 0.000 0.079
5 Sn 0.000 0.500 0.906

Output
SG: P4mm, No. 99
Theoretical density in Mg/m³: 8.7
Formation energy from the elements in eV/atom: -0.22

Record 3
Below is crystalline Ac2Sn4HgAu3 at its relaxed geometry, with properties calculated at the PBE-GGA level.

Lattice parameters (Å, degrees): 4.830 4.830 11.344 90.00 90.00 90.00
Atoms (fractional coordinates):
1 Sn 0.500 0.000 0.633
2 Ac 0.500 0.000 0.257
3 Ac 0.000 0.500 0.743
4 Sn 0.000 0.000 0.000
5 Hg 0.500 0.500 0.500
6 Sn 0.000 0.500 0.367
7 Sn 0.500 0.500 0.000
8 Au 0.500 0.000 0.869
9 Au 0.000 0.000 0.500
10 Au 0.000 0.500 0.131

Output
SG: P-4m2, No. 115
Theoretical density in Mg/m³: 10.8
Formation energy from the elements in eV/atom: -0.56

Record 4
Below is crystalline AcHgTeAu at its relaxed geometry, with properties calculated at the PBE-GGA level.

Lattice parameters (Å, degrees): 5.530 5.530 5.530 60.00 60.00 60.00
Atoms (fractional coordinates):
1 Ac 0.000 0.000 0.000
2 Hg 0.500 0.500 0.500
3 Au 0.750 0.750 0.750
4 Te 0.250 0.250 0.250

Output
SG: F-43m, No. 216
Theoretical density in Mg/m³: 10.4
Raw formation energy in eV per atom: -0.745

Record 5
Below is crystalline AcThHgAu at its relaxed geometry, with properties calculated at the PBE-GGA level.

Lattice parameters (Å, degrees): 5.469 5.469 5.469 60.00 60.00 60.00
Atoms (fractional coordinates):
1 Hg 0.500 0.500 0.500
2 Ac 0.250 0.250 0.250
3 Au 0.000 0.000 0.000
4 Th 0.750 0.750 0.750

Output
SG: F-43m, No. 216
Theoretical density in Mg/m³: 12.3
Formation energy from the elements in eV/atom: -0.41

Record 6
Below is crystalline Ac4Tl2HgAu at its relaxed geometry, with properties calculated at the PBE-GGA level.

Lattice parameters (Å, degrees): 5.733 5.733 9.963 73.28 73.28 60.00
Atoms (fractional coordinates):
1 Hg 0.000 0.000 0.000
2 Ac 0.130 0.130 0.611
3 Ac 0.621 0.621 0.138
4 Ac 0.379 0.379 0.862
5 Au 0.500 0.500 0.500
6 Ac 0.870 0.870 0.389
7 Tl 0.254 0.254 0.239
8 Tl 0.746 0.746 0.761

Output
SG: R-3m, No. 166
Theoretical density in Mg/m³: 10.6
Formation energy from the elements in eV/atom: -0.47

Which of these has the highest theoretical density?
AcThHgAu

theoretical density of number 6 (Ac4Tl2HgAu)?
10.6 Mg/m³

What is the theoretical density in the third record?
10.8 Mg/m³